The following is a PBE calculation of crystalline TmMgCuTe3 at its relaxed geometry, from the Open Quantum Materials Database.

## Properties
ΔE to the lowest computed polymorph ... 0 meV/atom
Mass density ... 6.6 g cm⁻³

Unit cell a=8.196 b=4.097 c=9.825 alpha=90.00 beta=101.75 gamma=90.00
Element x y z (fractional)
Tm 0.181 0.250 0.176
Tm 0.819 0.750 0.824
Mg 0.300 0.750 0.716
Mg 0.700 0.250 0.284
Cu 0.425 0.750 0.423
Cu 0.575 0.250 0.577
Te 0.097 0.250 0.850
Te 0.236 0.250 0.487
Te 0.442 0.750 0.154
Te 0.558 0.250 0.846
Te 0.764 0.750 0.513
Te 0.903 0.750 0.150

---

The following is a PBE calculation of crystalline YMgCuTe3 at its relaxed geometry, from the Open Quantum Materials Database.

## Properties
ΔE to the lowest computed polymorph ... 0 meV/atom
Mass density ... 5.7 g cm⁻³

Unit cell a=7.279 b=7.279 c=11.255 alpha=90.00 beta=90.00 gamma=147.16
Element x y z (fractional)
Y 0.000 0.000 0.000
Y 0.000 0.000 0.500
Mg 0.227 0.773 0.750
Mg 0.773 0.227 0.250
Cu 0.477 0.523 0.250
Cu 0.523 0.477 0.750
Te 0.101 0.899 0.250
Te 0.350 0.650 0.076
Te 0.350 0.650 0.424
Te 0.650 0.350 0.576
Te 0.650 0.350 0.924
Te 0.899 0.101 0.750

---

The following is a PBE calculation of crystalline YMgCuTe3 at its relaxed geometry, from the Open Quantum Materials Database.

## Properties
ΔE to the lowest computed polymorph ... 32 meV/atom
Mass density ... 5.9 g cm⁻³

Unit cell a=12.361 b=4.165 c=12.157 alpha=90.00 beta=90.00 gamma=90.00
Element x y z (fractional)
Y 0.044 0.250 0.193
Y 0.456 0.750 0.693
Y 0.544 0.250 0.307
Y 0.956 0.750 0.807
Mg 0.218 0.250 0.462
Mg 0.282 0.750 0.962
Mg 0.718 0.250 0.038
Mg 0.782 0.750 0.538
Cu 0.240 0.750 0.283
Cu 0.260 0.250 0.783
Cu 0.740 0.750 0.217
Cu 0.760 0.250 0.717
Te 0.056 0.750 0.379
Te 0.102 0.250 0.933
Te 0.201 0.750 0.665
Te 0.299 0.250 0.165
Te 0.398 0.750 0.433
Te 0.444 0.250 0.879
Te 0.556 0.750 0.121
Te 0.602 0.250 0.567
Te 0.701 0.750 0.835
Te 0.799 0.250 0.335
Te 0.898 0.750 0.067
Te 0.944 0.250 0.621

---

The following is a PBE calculation of crystalline Th6MgCu at its relaxed geometry, from the Open Quantum Materials Database.

## Properties
Mass density ... 10.2 g cm⁻³

Unit cell a=6.225 b=6.225 c=6.225 alpha=89.50 beta=89.50 gamma=89.50
Element x y z (fractional)
Th 0.026 0.499 0.750
Th 0.250 0.974 0.501
Th 0.499 0.750 0.026
Th 0.501 0.250 0.974
Th 0.750 0.026 0.499
Th 0.974 0.501 0.250
Mg 0.000 0.000 0.000
Cu 0.500 0.500 0.500

---

The following is a PBE calculation of crystalline ThMg2Cu9 at its relaxed geometry, from the Open Quantum Materials Database.

## Properties
Mass density ... 8.0 g cm⁻³

Unit cell a=8.550 b=8.550 c=8.550 alpha=34.36 beta=34.36 gamma=34.36
Element x y z (fractional)
Th 0.000 0.000 0.000
Mg 0.146 0.146 0.146
Mg 0.854 0.854 0.854
Cu 0.083 0.586 0.586
Cu 0.333 0.333 0.333
Cu 0.414 0.414 0.917
Cu 0.414 0.917 0.414
Cu 0.500 0.500 0.500
Cu 0.586 0.083 0.586
Cu 0.586 0.586 0.083
Cu 0.667 0.667 0.667
Cu 0.917 0.414 0.414

---

The following is a PBE calculation of crystalline MgTlCuW at its relaxed geometry, from the Open Quantum Materials Database.

## Properties
ΔE to the lowest computed polymorph ... 15 meV/atom
Mass density ... 11.2 g cm⁻³

Unit cell a=4.637 b=4.637 c=4.637 alpha=60.00 beta=60.00 gamma=60.00
Element x y z (fractional)
Mg 0.000 0.000 0.000
Tl 0.250 0.250 0.250
Cu 0.500 0.500 0.500
W 0.750 0.750 0.750

---

| no. | final energy (eV per atom) |
| --- | --- |
| 1 | -3.990 |
| 2 | -4.326 |
| 3 | -4.293 |
| 4 | -5.963 |
| 5 | -3.828 |
| 6 | -4.269 |